# PBE-GGA PmSm2Er9, optimized geometry
# Total magnetic moment = 0.0 μB per cell
# Energy of formation from the pure elements = 0.023 eV per atom
data_PmSm2Er9
_cell_length_a 5.0026
_cell_length_b 5.0026
_cell_length_c 15.0068
_cell_angle_alpha 90.00
_cell_angle_beta 90.00
_cell_angle_gamma 90.00
_space_group_name_H-M_alt 'P 1'
_space_group_IT_number 1
_space_group_name_Hall 'P 1'
loop_
_atom_site_label
_atom_site_fract_x
_atom_site_fract_y
_atom_site_fract_z
Er1 0.0000 0.5000 0.8329
Sm1 0.0000 0.0000 0.6665
Pm1 0.0000 0.0000 0.0000
Er2 0.0000 0.5000 0.5000
Er3 0.5000 0.0000 0.1671
Er4 0.5000 0.5000 0.3336
Er5 0.5000 0.0000 0.5000
Er6 0.5000 0.0000 0.8329
Er7 0.0000 0.5000 0.1671
Sm2 0.0000 0.0000 0.3335
Er8 0.5000 0.5000 0.6664
Er9 0.5000 0.5000 0.0000